# 1
K4Re3PbO12: optimized geometry, PBE-GGA.

Values from the calculation:
Formation energy from raw total energies in meV/atom: -1506.8
Magnetization in μB per formula unit: 3.0
Space-group type: Im-3m, No. 229
Final energy in eV per atom: -6.754

Unit cell a=7.185 b=7.185 c=7.185 alpha=109.47 beta=109.47 gamma=109.47
Last column: magnetic moment on the atom in μB.
Fractional positions:
O  0.282  0.282  0.000  0.05
K  0.500  0.000  0.000  0.00
O  0.282  0.000  0.282  0.05
O  0.250  0.500  0.750  0.09
K  0.500  0.500  0.500  0.00
O  0.718  0.718  0.000  0.05
Re  0.500  0.500  0.000  0.64
O  0.500  0.250  0.750  0.09
Re  0.000  0.500  0.500  0.64
O  0.750  0.250  0.500  0.09
O  0.000  0.282  0.282  0.05
Pb  0.000  0.000  0.000  0.01
O  0.000  0.718  0.718  0.05
O  0.250  0.750  0.500  0.09
O  0.500  0.750  0.250  0.09
K  0.000  0.000  0.500  0.00
O  0.750  0.500  0.250  0.09
Re  0.500  0.000  0.500  0.64
K  0.000  0.500  0.000  0.00
O  0.718  0.000  0.718  0.05

# 2
K2RhPbO4: optimized geometry, PBE-GGA.

Values from the calculation:
Formation energy from raw total energies in meV/atom: -1020.0
Magnetization in μB per formula unit: 2.9
Space-group type: I-4, No. 82
Final energy in eV per atom: -5.156

Unit cell a=5.753 b=5.753 c=5.753 alpha=102.42 beta=113.11 gamma=113.11
Last column: magnetic moment on the atom in μB.
Fractional positions:
O  0.928  0.630  0.210  0.27
K  0.500  0.750  0.250  0.00
Rh  0.000  0.500  0.500  1.50
Pb  0.500  0.250  0.750  0.03
K  0.000  0.000  0.000  0.01
O  0.580  0.298  0.370  0.27
O  0.072  0.282  0.702  0.27
O  0.420  0.790  0.718  0.27

# 3
KRhPb2O: optimized geometry, PBE-GGA.

Values from the calculation:
Formation energy from raw total energies in meV/atom: -57.7
Magnetization in μB per formula unit: 0.0
Space-group type: P4/mmm, No. 123
Final energy in eV per atom: -4.223

Unit cell a=4.915 b=4.799 c=4.915 alpha=90.00 beta=90.00 gamma=90.00
Fractional positions:
Pb  0.000  0.000  0.500
Rh  0.500  0.500  0.500
Pb  0.500  0.000  0.000
O  0.000  0.000  0.000
K  0.000  0.500  0.000

# 4
K3RhPb3O8: optimized geometry, PBE-GGA.

Values from the calculation:
Formation energy from raw total energies in meV/atom: -1122.0
Magnetization in μB per formula unit: 0.0
Space-group type: C2/m, No. 12
Final energy in eV per atom: -5.218

Unit cell a=6.982 b=6.929 c=7.427 alpha=117.51 beta=90.00 gamma=120.25
Fractional positions:
Pb  0.500  0.500  0.500
O  0.204  0.409  0.674
Pb  0.000  0.500  0.500
O  0.801  0.033  0.326
O  0.737  0.475  0.701
K  0.000  0.000  0.000
O  0.263  0.525  0.299
Pb  0.500  0.000  0.500
K  0.500  0.500  0.000
O  0.768  0.967  0.674
O  0.796  0.591  0.326
O  0.232  0.033  0.326
K  0.000  0.500  0.000
Rh  0.000  0.000  0.500
O  0.199  0.967  0.674

# 5
K2Rh3PbO8: optimized geometry, PBE-GGA.

Values from the calculation:
Formation energy from raw total energies in meV/atom: -970.4
Magnetization in μB per formula unit: 0.0
Space-group type: R3m, No. 160
Final energy in eV per atom: -5.801

Unit cell a=6.322 b=6.322 c=7.267 alpha=64.22 beta=64.22 gamma=60.00
Fractional positions:
O  0.277  0.277  0.169
K  0.133  0.133  0.600
K  0.495  0.495  0.515
O  0.757  0.313  0.174
O  0.234  0.234  0.848
O  0.313  0.757  0.174
Rh  0.497  0.497  0.001
O  0.234  0.685  0.848
Rh  0.497  0.006  0.001
Pb  0.893  0.893  0.321
O  0.685  0.234  0.848
O  0.757  0.757  0.174
O  0.717  0.717  0.850
Rh  0.006  0.497  0.001

# 6
KRuPb2O6: optimized geometry, PBE-GGA.

Values from the calculation:
Formation energy from raw total energies in meV/atom: -1082.8
Magnetization in μB per formula unit: 1.1
Space-group type: P2_1/c, No. 14
Final energy in eV per atom: -5.837

Unit cell a=5.712 b=6.339 c=8.579 alpha=90.00 beta=89.71 gamma=90.00
Last column: magnetic moment on the atom in μB.
Fractional positions:
O  0.204  0.152  0.490  0.03
O  0.855  0.705  0.861  0.01
O  0.355  0.795  0.361  0.01
K  0.000  0.500  0.500  0.00
Pb  0.497  0.484  0.215  -0.02
O  0.796  0.848  0.510  0.03
K  0.500  0.000  0.000  0.00
O  0.129  0.351  0.820  0.00
O  0.871  0.649  0.180  0.00
Pb  0.503  0.516  0.785  -0.02
O  0.645  0.205  0.639  0.01
O  0.296  0.652  0.010  0.03
Pb  0.003  0.984  0.285  -0.02
Pb  0.997  0.016  0.715  -0.02
O  0.145  0.295  0.139  0.01
Ru  0.500  0.000  0.500  0.95
O  0.704  0.348  0.990  0.03
Ru  0.000  0.500  0.000  0.95
O  0.371  0.851  0.680  0.00
O  0.629  0.149  0.320  0.00

# 7
K3RuPb3O8: optimized geometry, PBE-GGA.

Values from the calculation:
Formation energy from raw total energies in meV/atom: -1192.9
Magnetization in μB per formula unit: 0.0
Space-group type: C2/m, No. 12
Final energy in eV per atom: -5.417

Unit cell a=7.023 b=6.981 c=7.433 alpha=117.66 beta=90.00 gamma=120.20
Fractional positions:
K  0.000  0.000  0.000
K  0.500  0.500  0.000
O  0.221  0.027  0.327
O  0.194  0.973  0.673
Pb  0.000  0.500  0.500
O  0.739  0.478  0.709
O  0.198  0.396  0.673
O  0.779  0.973  0.673
O  0.261  0.522  0.291
O  0.806  0.027  0.327
Pb  0.500  0.000  0.500
K  0.000  0.500  0.000
O  0.802  0.604  0.327
Pb  0.500  0.500  0.500
Ru  0.000  0.000  0.500

# 8
K2Ru3PbO8: optimized geometry, PBE-GGA.

Values from the calculation:
Formation energy from raw total energies in meV/atom: -1053.6
Magnetization in μB per formula unit: 4.1
Space-group type: R3m, No. 160
Final energy in eV per atom: -6.296

Unit cell a=6.336 b=6.336 c=7.266 alpha=64.15 beta=64.15 gamma=60.00
Last column: magnetic moment on the atom in μB.
Fractional positions:
O  0.231  0.683  0.855  0.13
O  0.720  0.720  0.841  0.12
O  0.312  0.757  0.174  0.08
O  0.757  0.312  0.174  0.08
K  0.134  0.134  0.599  0.01
Ru  0.002  0.500  0.998  0.97
Ru  0.500  0.500  0.998  0.97
O  0.683  0.231  0.855  0.13
Ru  0.500  0.002  0.998  0.97
O  0.231  0.231  0.855  0.13
Pb  0.891  0.891  0.327  0.01
O  0.757  0.757  0.174  0.08
O  0.279  0.279  0.162  0.10
K  0.496  0.496  0.513  0.00

# 9
KRuPbO6: optimized geometry, PBE-GGA.

Values from the calculation:
Formation energy from raw total energies in meV/atom: -810.1
Magnetization in μB per formula unit: 1.1
Space-group type: P1, No. 1
Final energy in eV per atom: -5.680

Unit cell a=7.008 b=5.070 c=5.180 alpha=83.30 beta=83.44 gamma=75.29
Last column: magnetic moment on the atom in μB.
Fractional positions:
O  0.299  0.699  0.137  0.01
O  0.265  0.044  0.618  0.09
Pb  0.063  0.927  0.956  0.01
K  0.635  0.637  0.791  0.00
O  0.120  0.299  0.161  0.01
O  0.786  0.075  0.885  0.03
O  0.080  0.588  0.619  0.16
O  0.500  0.362  0.421  0.07
Ru  0.252  0.369  0.410  0.53

# 10
K3Ru2PbO8: optimized geometry, PBE-GGA.

Values from the calculation:
Formation energy from raw total energies in meV/atom: -1179.4
Magnetization in μB per formula unit: 3.0
Space-group type: P-3m1, No. 164
Final energy in eV per atom: -5.838

Unit cell a=6.175 b=6.175 c=7.964 alpha=90.00 beta=90.00 gamma=120.00
Last column: magnetic moment on the atom in μB.
Fractional positions:
O  0.176  0.353  0.301  0.12
O  0.667  0.333  0.016  0.13
K  0.333  0.667  0.660  0.00
K  0.667  0.333  0.340  0.00
O  0.333  0.667  0.984  0.13
K  0.000  0.000  0.000  0.00
Pb  0.000  0.000  0.500  -0.01
O  0.647  0.824  0.301  0.12
Ru  0.333  0.667  0.206  0.85
O  0.176  0.824  0.301  0.12
O  0.824  0.647  0.699  0.12
O  0.824  0.176  0.699  0.12
Ru  0.667  0.333  0.794  0.85
O  0.353  0.176  0.699  0.12

# 11
K2RuPbO4: optimized geometry, PBE-GGA.

Values from the calculation:
Formation energy from raw total energies in meV/atom: -1096.1
Magnetization in μB per formula unit: 2.0
Space-group type: P1, No. 1
Final energy in eV per atom: -5.473

Unit cell a=6.471 b=6.148 c=6.285 alpha=125.05 beta=127.43 gamma=84.81
Last column: magnetic moment on the atom in μB.
Fractional positions:
O  0.965  0.046  0.582  0.14
K  0.253  0.248  0.511  0.00
K  0.487  0.994  0.994  0.00
O  0.419  0.814  0.270  0.07
O  0.917  0.510  0.375  0.10
Ru  0.741  0.740  0.489  1.30
Pb  0.992  0.474  0.972  0.03
O  0.613  0.560  0.581  0.17

# 12
KRuPbO5: optimized geometry, PBE-GGA.

Values from the calculation:
Formation energy from raw total energies in meV/atom: -1032.1
Magnetization in μB per formula unit: 2.0
Space-group type: C2/c, No. 15
Final energy in eV per atom: -5.891

Unit cell a=6.461 b=6.461 c=8.061 alpha=104.09 beta=104.09 gamma=105.64
Last column: magnetic moment on the atom in μB.
Fractional positions:
Pb  0.000  0.000  0.500  0.02
O  0.323  0.882  0.629  0.16
K  0.328  0.672  0.250  0.00
O  0.746  0.595  0.413  0.16
Ru  0.321  0.679  0.750  1.02
O  0.933  0.067  0.750  0.03
O  0.882  0.323  0.129  0.16
Pb  0.000  0.000  0.000  0.02
O  0.595  0.746  0.913  0.16
O  0.118  0.677  0.871  0.16
O  0.405  0.254  0.087  0.16
O  0.677  0.118  0.371  0.16
Ru  0.679  0.321  0.250  1.02
O  0.254  0.405  0.587  0.16
K  0.672  0.328  0.750  0.00
O  0.067  0.933  0.250  0.03

| no. | density (g cm⁻³) |
| --- | --- |
| 1 | 6.48 |
| 2 | 5.18 |
| 3 | 8.20 |
| 4 | 6.14 |
| 5 | 5.51 |
| 6 | 6.95 |
| 7 | 6.05 |
| 8 | 5.45 |
| 9 | 4.18 |
| 10 | 4.13 |
| 11 | 5.02 |
| 12 | 4.79 |